This record from Alexandria via LeMat-Bulk describes an optimized crystal structure of YHo2Hg3. The functional is PBE.

Results
The polymorph energy (0 for the lowest one) is 2 meV per atom. Its formation energy is -0.49 eV/atom. The value obtained for the spin magnetization is 0.00 μB per formula unit.

abc: 5.245 5.245 6.453
angles: 90.00 90.00 120.00
Fractional coordinates of all 6 atoms:
Hg (0.667, 0.333, 0.832)
Hg (0.333, 0.667, 0.168)
Hg (0.000, 0.000, 0.500)
Ho (0.667, 0.333, 0.334)
Ho (0.333, 0.667, 0.666)
Y (0.000, 0.000, 0.000)